Tb5Sm4Ho2 | Alexandria | GGA-PBE | optimized geometry; DFT formation energy = 0.0131 eV per atom; raw total energy = -51.04 eV per cell
1.0
6.205 0.000 0.000
-2.054 7.723 0.000
-1.038 -2.781 7.428
Tb Sm Ho
5 4 2
direct
0.000 0.000 0.000
0.091 0.364 0.820
0.455 0.817 0.090
0.545 0.183 0.910
0.909 0.636 0.180
0.183 0.727 0.638
0.272 0.092 0.454
0.728 0.908 0.546
0.817 0.273 0.362
0.363 0.455 0.271
0.637 0.545 0.729